# 1
First-principles (PBE) data for SiAg2Os after structural relaxation, as listed in Alexandria via LeMat-Bulk.

Results
VASP energy (eV per formula unit): -20.0
Uncorrected formation energy (meV per atom): 581
Magnetic moment (μB per cell): 1.0

abc: 5.334 5.334 5.334
angles: 139.32 139.32 58.89
Fractional positions:
Si1 0.000 0.000 0.000
Ag1 0.250 0.750 0.500
Ag2 0.750 0.250 0.500
Os1 0.500 0.500 0.000

---

# 2
First-principles (PBE) data for SiAg2Os after structural relaxation, as listed in Alexandria via LeMat-Bulk.

Results
VASP energy (eV per formula unit): -19.7
Uncorrected formation energy (meV per atom): 667
Magnetic moment (μB per cell): 1.3

abc: 10.403 10.403 10.403
angles: 159.72 159.72 28.83
Fractional positions:
Si1 0.000 0.000 0.000
Si2 0.750 0.250 0.500
Ag1 0.125 0.625 0.000
Ag2 0.375 0.375 0.500
Ag3 0.625 0.125 0.000
Ag4 0.875 0.875 0.500
Os1 0.250 0.750 0.500
Os2 0.500 0.500 0.000

---

# 3
First-principles (PBE) data for SiAg2Os after structural relaxation, as listed in Alexandria via LeMat-Bulk.

Results
VASP energy (eV per formula unit): -19.9
Uncorrected formation energy (meV per atom): 603
Magnetic moment (μB per cell): 0.0

abc: 2.764 2.764 9.781
angles: 90.00 90.00 119.69
Fractional positions:
Si1 0.000 0.000 0.000
Ag1 0.500 0.500 0.245
Ag2 0.500 0.500 0.755
Os1 0.000 0.000 0.500

---

# 4
First-principles (PBE) data for SiAg3Os after structural relaxation, as listed in Alexandria via LeMat-Bulk.

Results
Energy above the most stable polymorph in this dataset (meV per atom): 401.2
VASP energy (eV per formula unit): -16.3
Uncorrected formation energy (meV per atom): 1780
Magnetic moment (μB per cell): 1.9

abc: 5.052 5.052 5.052
angles: 90.00 90.00 90.00
Fractional positions:
Si1 0.000 0.000 0.000
Ag1 0.000 0.500 0.500
Ag2 0.500 0.000 0.500
Ag3 0.500 0.500 0.000
Os1 0.500 0.500 0.500

---

# 5
First-principles (PBE) data for SiAgOs2 after structural relaxation, as listed in Alexandria via LeMat-Bulk.

Results
VASP energy (eV per formula unit): -28.6
Uncorrected formation energy (meV per atom): 537
Magnetic moment (μB per cell): 0.5

abc: 2.772 2.772 9.137
angles: 90.00 90.00 119.18
Fractional positions:
Si1 0.000 0.000 0.000
Ag1 0.500 0.500 0.741
Os1 0.000 0.000 0.464
Os2 0.500 0.500 0.217

---

# 6
First-principles (PBE) data for SiAg2Os after structural relaxation, as listed in Alexandria via LeMat-Bulk.

Results
VASP energy (eV per formula unit): -20.9
Uncorrected formation energy (meV per atom): 374
Magnetic moment (μB per cell): 0.0

abc: 4.366 2.930 5.023
angles: 90.00 104.04 90.00
Fractional positions:
Si1 0.000 0.000 0.000
Ag1 0.000 0.500 0.500
Ag2 0.500 0.000 0.500
Os1 0.500 0.500 0.000

---

# 7
First-principles (PBE) data for SiAgOs after structural relaxation, as listed in Alexandria via LeMat-Bulk.

Results
Energy above the most stable polymorph in this dataset (meV per atom): 44.2
VASP energy (eV per formula unit): -18.7
Uncorrected formation energy (meV per atom): 258
Magnetic moment (μB per cell): 0.0

abc: 4.138 4.138 3.136
angles: 90.00 90.00 120.00
Fractional positions:
Si1 0.000 0.000 0.000
Ag1 0.333 0.667 0.502
Os1 0.667 0.333 0.002

---

# 8
First-principles (PBE) data for SiAg2Os after structural relaxation, as listed in Alexandria via LeMat-Bulk.

Results
VASP energy (eV per formula unit): -21.2
Uncorrected formation energy (meV per atom): 299
Magnetic moment (μB per cell): 0.0

abc: 2.832 2.832 8.954
angles: 90.00 90.00 115.37
Fractional positions:
Si1 0.000 0.000 0.000
Ag1 0.000 0.000 0.526
Ag2 0.500 0.500 0.253
Os1 0.500 0.500 0.803

---

Repeat the fourth record exactly.
First-principles (PBE) data for SiAg3Os after structural relaxation, as listed in Alexandria via LeMat-Bulk.

Results
Energy above the most stable polymorph in this dataset (meV per atom): 401.2
VASP energy (eV per formula unit): -16.3
Uncorrected formation energy (meV per atom): 1780
Magnetic moment (μB per cell): 1.9

abc: 5.052 5.052 5.052
angles: 90.00 90.00 90.00
Fractional positions:
Si1 0.000 0.000 0.000
Ag1 0.000 0.500 0.500
Ag2 0.500 0.000 0.500
Ag3 0.500 0.500 0.000
Os1 0.500 0.500 0.500

---

Look up the uncorrected formation energy of the third one.
603 meV per atom

---

What is the formula in the fourth record?
SiAg3Os